No. 1
An optimized crystal structure of Hg2HSe, computed with PBE.

a = 4.8293 Å, b = 4.8293 Å, c = 4.8293 Å
α = 60.00°, β = 60.00°, γ = 60.00°
Last column: nearest neighbours and their distance in Å.
Positions (direct):
1 Hg 0.2500 0.2500 0.2500  4 Se 2.96, 4 H 2.96
2 Hg 0.7500 0.7500 0.7500  4 Se 2.96, 4 H 2.96
3 H 0.0000 0.0000 0.0000  8 Hg 2.96
4 Se 0.5000 0.5000 0.5000  8 Hg 2.96

Output
Raw total energy: -1.30 eV/atom
Volume: 79.6 Å³/f.u.
Magnetic moment: 0.57 μB per formula unit

---

No. 2
An optimized crystal structure of HgHSe, computed with PBE.

a = 4.2640 Å, b = 4.2663 Å, c = 9.1277 Å
α = 103.07°, β = 102.49°, γ = 90.20°
Last column: nearest neighbours and their distance in Å.
Positions (direct):
1 Hg 0.0000 0.0000 0.0000  4 Se 2.67-2.77
2 Hg 0.2502 0.7458 0.4997  4 H 3.21-3.27
3 H 0.6384 0.3574 0.2549  1 Se 1.49
4 H 0.6476 0.3563 0.7450  1 Se 1.49
5 Se 0.0011 0.3942 0.8106  1 H 1.49
6 Se 0.6019 0.0026 0.1894  1 H 1.49

Output
Raw total energy: -2.44 eV/atom
Volume: 78.8 Å³/f.u.
Magnetic moment: 0.00 μB per formula unit

---

No. 3
An optimized crystal structure of Hg2H2Se, computed with PBE.

a = 6.4951 Å, b = 6.4951 Å, c = 6.4951 Å
α = 147.50°, β = 147.50°, γ = 46.63°
Last column: nearest neighbours and their distance in Å.
Positions (direct):
1 Hg 0.1445 0.1445 0.0000  4 H 2.21
2 Hg 0.8555 0.8555 0.0000  4 H 2.21
3 H 0.2500 0.7500 0.5000  4 Hg 2.21
4 H 0.7500 0.2500 0.5000  4 Hg 2.21
5 Se 0.5000 0.5000 0.0000  8 Hg 3.09

Output
Raw total energy: -1.61 eV/atom
Volume: 78.8 Å³/f.u.
Magnetic moment: 0.00 μB per formula unit

---

No. 4
An optimized crystal structure of HgHSe2, computed with PBE.

a = 4.7848 Å, b = 4.7848 Å, c = 4.7848 Å
α = 60.00°, β = 60.00°, γ = 60.00°
Last column: nearest neighbours and their distance in Å.
Positions (direct):
1 Hg 0.0000 0.0000 0.0000  8 Se 2.93
2 H 0.5000 0.5000 0.5000  8 Se 2.93
3 Se 0.2500 0.2500 0.2500  4 Hg 2.93, 4 H 2.93
4 Se 0.7500 0.7500 0.7500  4 H 2.93, 4 Hg 2.93

Output
Raw total energy: -1.81 eV/atom
Volume: 77.5 Å³/f.u.
Magnetic moment: 1.00 μB per formula unit